A geometry-optimized Ca3AlCd structure, computed with PBE.

Values from the calculation:
E_form: 0.1216 eV/atom
E_tot: -2.01 eV per atom

a b c (Å): 5.8573 5.8573 5.8573
angles (deg): 90.00 90.00 90.00
Element x y z (fractional)
1 Ca 0.0000 0.0000 0.5000
2 Ca 0.0000 0.5000 0.0000
3 Ca 0.5000 0.0000 0.0000
4 Al 0.0000 0.0000 0.0000
5 Cd 0.5000 0.5000 0.5000